Here is crystalline MgReAu at its relaxed geometry from Alexandria via LeMat-Bulk. Energies are from GGA-PBEsol.

Structure (extended XYZ):
```
3
Lattice="-2.0732 -0.6505 -3.6776 0.8349 -3.4772 -2.3364 -2.8998 -3.1227 -0.2936" Properties=species:S:1:pos:R:3 pbc="T T T"
Mg -3.1037 -5.4378 -4.7307
Au -2.0691 -3.6252 -3.1538
Re 0.0000 0.0000 0.0000
```

Properties
- space-group type = F-43m
- calculated formation energy (meV/atom) = 1257
- ΔE to the lowest computed polymorph (meV per atom) = 1048